Density functional theory data (PBE) for BeBSbI2 after structural relaxation.

## Properties
DOS(E_F) ... 4.0 states/eV/f.u.
Formation energy (no corrections) ... 1.21 eV/atom
E_tot ... -0.08521 Ha/atom

Cell and atoms, written as CIF:
```
data_BeBSbI2
_cell_length_a 5.262
_cell_length_b 5.262
_cell_length_c 4.928
_cell_angle_alpha 90.00
_cell_angle_beta 90.00
_cell_angle_gamma 90.00
_space_group_name_H-M_alt 'P 4/m m m'
_space_group_IT_number 123
_space_group_name_Hall '-P 4 2'
loop_
_atom_site_label
_atom_site_type_symbol
_atom_site_fract_x
_atom_site_fract_y
_atom_site_fract_z
_atom_site_occupancy
Be1 Be 0.000 0.000 0.000 1
B1 B 0.500 0.500 0.500 1
Sb1 Sb 0.000 0.000 0.500 1
I1 I 0.000 0.500 0.000 1
```